Record 1
# Li2ScCr

A relaxed structure of Li2ScCr (PBE-GGA, Alexandria via LeMat-Bulk).

Cell and atoms, written as POSCAR:
```
Li2ScCr
1.0
-1.0959 5.0027 1.4754
-5.2119 1.1001 -0.1744
3.5121 -3.3038 2.2703
Li Cr Sc
2 1 1
direct
0.2281 0.7281 0.5000
0.0086 0.0086 0.0000
0.7672 0.2672 0.5000
0.4961 0.4961 0.0000
```

Calculated values
Crystal system: orthorhombic
E above lowest polymorph in meV/atom: 96
DOS(E_F) in states/eV/atom: 0.777
Energy relative to the elements in eV per atom: 0.40
Space-group type: Imm2 (44)

***

Record 2
# LiSc2Cr

A relaxed structure of LiSc2Cr (PBE-GGA, Alexandria via LeMat-Bulk).

Cell and atoms, written as POSCAR:
```
LiSc2Cr
1.0
3.2916 0.4454 0.0000
-0.4467 3.2914 0.0000
0.0000 0.0000 7.1207
Li Sc Cr
1 2 1
direct
0.5000 0.5000 0.7138
0.5000 0.5000 0.2917
0.0000 0.0000 0.9624
0.0000 0.0000 0.5320
```

Calculated values
Crystal system: tetragonal
DOS(E_F) in states/eV/atom: 1.253
Energy relative to the elements in eV per atom: 0.34
Space-group type: P4mm (99)

***

Record 3
# LiScCr

A relaxed structure of LiScCr (PBE-GGA, Alexandria via LeMat-Bulk).

Cell and atoms, written as POSCAR:
```
LiScCr
1.0
4.5936 0.0000 0.0000
2.2968 3.9782 0.0000
2.2968 1.3261 3.7506
Li Cr Sc
1 1 1
direct
0.5000 0.5000 0.5000
0.0000 0.0000 0.0000
0.7500 0.7500 0.7500
```

Calculated values
Crystal system: cubic
E above lowest polymorph in meV/atom: 621
DOS(E_F) in states/eV/atom: 1.185
Energy relative to the elements in eV per atom: 1.02
Space-group type: F-43m (216)

***

Record 4
# Li2ScCr

A relaxed structure of Li2ScCr (PBE-GGA, Alexandria via LeMat-Bulk).

Cell and atoms, written as POSCAR:
```
Li2ScCr
1.0
0.0000 3.1521 3.1521
3.1521 0.0000 3.1521
3.1521 3.1521 0.0000
Li Cr Sc
2 1 1
direct
0.7500 0.7500 0.7500
0.2500 0.2500 0.2500
0.5000 0.5000 0.5000
0.0000 0.0000 0.0000
```

Calculated values
Crystal system: cubic
E above lowest polymorph in meV/atom: 387
DOS(E_F) in states/eV/atom: 0.745
Energy relative to the elements in eV per atom: 0.69
Space-group type: Fm-3m (225)

***

Record 5
# LiSc2Cr

A relaxed structure of LiSc2Cr (PBE-GGA, Alexandria via LeMat-Bulk).

Cell and atoms, written as POSCAR:
```
LiSc2Cr
1.0
5.7157 0.0006 -0.0030
2.7738 4.9975 0.0030
-3.7294 -3.3745 2.7155
Cr Sc Li
1 2 1
direct
0.5145 0.5145 0.0000
0.2676 0.7676 0.5000
0.9866 0.9866 0.0000
0.7314 0.2314 0.5000
```

Calculated values
Crystal system: orthorhombic
DOS(E_F) in states/eV/atom: 0.869
Energy relative to the elements in eV per atom: 0.26
Space-group type: Imm2 (44)

***

Record 6
# LiSc2Cr2

A relaxed structure of LiSc2Cr2 (PBE-GGA, Alexandria via LeMat-Bulk).

Cell and atoms, written as POSCAR:
```
LiSc2Cr2
1.0
-3.8103 1.7678 0.4920
-0.9210 -0.8615 -4.0367
-4.5317 -4.6566 -0.1876
Li Sc Cr
1 2 2
direct
0.0000 0.0000 0.0000
0.2500 0.7500 0.5000
0.7500 0.2500 0.5000
0.5768 0.5768 0.8464
0.4232 0.4232 0.1536
```

Calculated values
Crystal system: tetragonal
E above lowest polymorph in meV/atom: 505
DOS(E_F) in states/eV/atom: 1.747
Energy relative to the elements in eV per atom: 0.85
Space-group type: I4/mmm (139)

***

Record 7
# Li2ScCr

A relaxed structure of Li2ScCr (PBE-GGA, Alexandria via LeMat-Bulk).

Cell and atoms, written as POSCAR:
```
Li2ScCr
1.0
5.0222 0.0000 0.0000
0.0000 2.9942 0.0054
0.0000 0.5930 5.0202
Cr Li Sc
1 2 1
direct
0.5000 0.7500 0.7500
0.0000 0.9674 0.9784
0.0000 0.5326 0.5216
0.5000 0.2500 0.2500
```

Calculated values
Crystal system: monoclinic
E above lowest polymorph in meV/atom: 81
DOS(E_F) in states/eV/atom: 0.768
Energy relative to the elements in eV per atom: 0.39
Space-group type: P2/m (10)

***

Record 8
# Li2ScCr

A relaxed structure of Li2ScCr (PBE-GGA, Alexandria via LeMat-Bulk).

Cell and atoms, written as POSCAR:
```
Li2ScCr
1.0
3.4658 0.0000 0.0000
0.0000 3.4658 0.0000
0.0000 0.0000 6.1288
Li Cr Sc
2 1 1
direct
0.0000 0.0000 0.5293
0.0000 0.0000 0.9707
0.5000 0.5000 0.7500
0.5000 0.5000 0.2500
```

Calculated values
Crystal system: tetragonal
E above lowest polymorph in meV/atom: 162
DOS(E_F) in states/eV/atom: 0.989
Energy relative to the elements in eV per atom: 0.47
Space-group type: P4/mmm (123)

***

Record 9
# LiScCr

A relaxed structure of LiScCr (PBE-GGA, Alexandria via LeMat-Bulk).

Cell and atoms, written as POSCAR:
```
LiScCr
1.0
5.4457 0.0295 0.0000
3.3771 4.2723 0.0000
-4.4114 -2.1509 2.3601
Sc Li Cr
1 1 1
direct
0.6587 0.6587 0.0000
0.3502 0.3502 0.0000
0.9911 0.9911 0.0000
```

Calculated values
Crystal system: tetragonal
E above lowest polymorph in meV/atom: 0
DOS(E_F) in states/eV/atom: 0.973
Energy relative to the elements in eV per atom: 0.40
Space-group type: I4mm (107)

***

Record 10
# LiSc2Cr

A relaxed structure of LiSc2Cr (PBE-GGA, Alexandria via LeMat-Bulk).

Cell and atoms, written as POSCAR:
```
LiSc2Cr
1.0
-6.2671 -3.7752 0.1095
2.3122 -4.0029 -5.6720
-0.7667 -5.8446 -0.9076
Sc Cr Li
4 2 2
direct
0.3750 0.8703 0.7500
0.1297 0.1250 0.2500
0.6203 0.6250 0.2500
0.8750 0.3797 0.7500
0.7500 0.2500 0.5000
0.0000 0.0000 0.0000
0.5000 0.5000 0.0000
0.2500 0.7500 0.5000
```

Calculated values
Crystal system: tetragonal
DOS(E_F) in states/eV/atom: 0.921
Energy relative to the elements in eV per atom: 0.51
Space-group type: I-42d (122)

***

Record 11
# Li2ScCr

A relaxed structure of Li2ScCr (PBE-GGA, Alexandria via LeMat-Bulk).

Cell and atoms, written as POSCAR:
```
Li2ScCr
1.0
-1.8435 -1.0982 2.4933
-1.4496 -2.1493 -2.0185
3.3910 -6.8370 -0.5040
Li Sc Cr
2 1 1
direct
0.5000 0.2817 0.2185
0.0000 0.0148 0.9850
0.0000 0.4682 0.5319
0.5000 0.7354 0.7646
```

Calculated values
Crystal system: tetragonal
E above lowest polymorph in meV/atom: 0
DOS(E_F) in states/eV/atom: 0.554
Energy relative to the elements in eV per atom: 0.30
Space-group type: P4mm (99)

***

Record 12
# Li2ScCr

A relaxed structure of Li2ScCr (PBE-GGA, Alexandria via LeMat-Bulk).

Cell and atoms, written as POSCAR:
```
Li2ScCr
1.0
-2.1309 -1.5497 5.1720
0.9421 -3.7994 -4.2860
2.2136 -1.7054 1.1249
Li Cr Sc
2 1 1
direct
0.5000 0.5000 0.0000
0.0000 0.0000 0.0000
0.0000 0.5000 0.5000
0.5000 0.0000 0.5000
```

Calculated values
Crystal system: monoclinic
E above lowest polymorph in meV/atom: 100
DOS(E_F) in states/eV/atom: 0.885
Energy relative to the elements in eV per atom: 0.40
Space-group type: C2/m (12)

***

Record 13
# LiScCr

A relaxed structure of LiScCr (PBE-GGA, Alexandria via LeMat-Bulk).

Cell and atoms, written as POSCAR:
```
LiScCr
1.0
-3.7660 5.7223 -2.2686
-4.8377 2.8434 -4.5371
2.8999 -4.7220 4.6225
Cr Sc Li
1 1 1
direct
0.0034 0.0034 0.0000
0.6502 0.6502 0.0000
0.3465 0.3465 0.0000
```

Calculated values
Crystal system: tetragonal
E above lowest polymorph in meV/atom: 109
DOS(E_F) in states/eV/atom: 0.867
Energy relative to the elements in eV per atom: 0.51
Space-group type: I4mm (107)

***

Record 14
# Li2ScCr

A relaxed structure of Li2ScCr (PBE-GGA, Alexandria via LeMat-Bulk).

Cell and atoms, written as POSCAR:
```
Li2ScCr
1.0
-0.0813 -1.6025 2.8470
4.4012 0.8521 0.6053
-1.1525 4.2692 2.3701
Li Sc Cr
2 1 1
direct
0.0000 0.0000 0.0000
0.5000 0.5000 0.0000
0.5000 0.0000 0.5000
0.0000 0.5000 0.5000
```

Calculated values
Crystal system: orthorhombic
E above lowest polymorph in meV/atom: 57
DOS(E_F) in states/eV/atom: 0.650
Energy relative to the elements in eV per atom: 0.36
Space-group type: Pmmm (47)

***

Record 15
# Li2ScCr

A relaxed structure of Li2ScCr (PBE-GGA, Alexandria via LeMat-Bulk).

Cell and atoms, written as POSCAR:
```
Li2ScCr
1.0
-2.4805 -0.5820 -1.4950
2.0021 -2.1598 -0.2310
-3.7983 -4.3770 8.0058
Li Cr Sc
2 1 1
direct
0.0000 0.0000 0.9833
0.0000 0.0000 0.5167
0.5000 0.5000 0.7500
0.5000 0.5000 0.2500
```

Calculated values
Crystal system: orthorhombic
E above lowest polymorph in meV/atom: 195
DOS(E_F) in states/eV/atom: 0.829
Energy relative to the elements in eV per atom: 0.50
Space-group type: Cmmm (65)